# 1
A relaxed structure of Pm5Dy4In, computed with PBE.

Unit cell a=5.947 b=8.082 c=8.082 alpha=82.22 beta=68.41 gamma=68.41
Sites, in units of the cell vectors:
Pm (0.765, 0.375, 0.000)
Pm (0.765, 0.000, 0.375)
Pm (0.140, 0.000, 0.625)
Dy (0.142, 0.317, 0.317)
Pm (0.671, 0.000, 0.000)
Dy (0.777, 0.683, 0.683)
Dy (0.459, 0.683, 0.317)
Dy (0.460, 0.317, 0.683)
In (0.191, 0.000, 0.000)
Pm (0.140, 0.625, 0.000)

D(E_F) = 13.263 states/eV/f.u.
Energy of formation = 135 meV/atom
Final energy = -4.3548 eV per atom



# 2
A relaxed structure of PmDy5In3, computed with PBE.

Unit cell a=6.743 b=9.387 c=9.386 alpha=120.00 beta=90.00 gamma=90.00
Site moments in Bohr magnetons follow the coordinates.
Sites, in units of the cell vectors:
Dy (0.250, 0.669, 0.000)  0.05
Dy (0.250, 0.331, 0.331)  0.05
Dy (0.750, 0.331, 0.000)  0.05
Dy (0.250, 0.000, 0.669)  0.05
Pm (0.000, 0.000, 0.000)  0.06
Dy (0.750, 0.669, 0.669)  0.05
In (0.250, 0.662, 0.662)  0.00
In (0.250, 0.338, 0.000)  0.00
Dy (0.000, 0.333, 0.667)  0.06
In (0.750, 0.338, 0.338)  0.00
Dy (0.500, 0.667, 0.333)  0.06
Dy (0.000, 0.667, 0.333)  0.06
Dy (0.500, 0.333, 0.667)  0.06
Pm (0.500, 0.000, 0.000)  0.06
In (0.750, 0.662, 0.000)  0.00
Dy (0.750, 0.000, 0.331)  0.05
In (0.750, 0.000, 0.662)  0.00
In (0.250, 0.000, 0.338)  0.00

D(E_F) = 10.947 states/eV/f.u.
Energy of formation = -351 meV/atom
Final energy = -4.3487 eV per atom



# 3
A relaxed structure of Pm4Dy3In, computed with PBE.

Unit cell a=7.029 b=7.102 c=10.066 alpha=90.00 beta=90.00 gamma=90.00
Sites, in units of the cell vectors:
Dy (0.257, 0.061, 0.250)
Dy (0.257, 0.061, 0.750)
Pm (0.500, 0.310, 0.000)
Dy (0.000, 0.811, 0.500)
Pm (0.500, 0.810, 0.500)
Pm (0.750, 0.061, 0.750)
Pm (0.999, 0.811, 0.000)
In (0.500, 0.311, 0.500)
Dy (0.000, 0.311, 0.000)
In (0.500, 0.811, 0.000)
Pm (0.250, 0.561, 0.750)
Pm (0.250, 0.561, 0.250)
Pm (0.001, 0.311, 0.500)
Dy (0.743, 0.561, 0.750)
Dy (0.743, 0.561, 0.250)
Pm (0.750, 0.061, 0.250)

D(E_F) = 11.846 states/eV/f.u.
Energy of formation = -79 meV/atom
Final energy = -4.5223 eV per atom
Polymorph energy (0 for the lowest one) = 1.7 kJ/mol of atoms



# 4
A relaxed structure of Pm3Dy2In3, computed with PBE.

Unit cell a=3.805 b=5.454 c=11.838 alpha=103.32 beta=99.25 gamma=90.00
Sites, in units of the cell vectors:
In (0.000, 0.500, 0.000)
In (0.121, 0.121, 0.242)
Pm (0.500, 0.000, 0.000)
Dy (0.265, 0.765, 0.531)
In (0.879, 0.879, 0.758)
Pm (0.376, 0.376, 0.751)
Pm (0.624, 0.624, 0.249)
Dy (0.735, 0.235, 0.469)

D(E_F) = 7.497 states/eV/f.u.
Energy of formation = -369 meV/atom
Final energy = -4.3276 eV per atom



# 5
A relaxed structure of PmDy7In4, computed with PBE.

Unit cell a=5.664 b=9.290 c=7.780 alpha=75.51 beta=68.65 gamma=72.25
Sites, in units of the cell vectors:
In (0.318, 0.333, 0.030)
In (0.682, 0.667, 0.970)
Dy (0.211, 0.123, 0.456)
Dy (0.063, 0.604, 0.269)
Dy (0.283, 0.657, 0.778)
Dy (0.500, 0.000, 0.000)
Pm (0.000, 0.000, 0.000)
In (0.561, 0.241, 0.637)
Dy (0.789, 0.877, 0.544)
Dy (0.937, 0.396, 0.731)
In (0.439, 0.759, 0.363)
Dy (0.717, 0.343, 0.222)

D(E_F) = 12.727 states/eV/f.u.
Energy of formation = -104 meV/atom
Final energy = -4.0969 eV per atom



# 6
A relaxed structure of PmDy2In2, computed with PBE.

Unit cell a=4.387 b=4.987 c=13.078 alpha=90.00 beta=99.64 gamma=90.00
Sites, in units of the cell vectors:
In (0.350, 0.250, 0.700)
Dy (0.239, 0.750, 0.479)
In (0.546, 0.250, 0.090)
Dy (0.049, 0.750, 0.098)
Dy (0.761, 0.250, 0.521)
Pm (0.144, 0.250, 0.288)
Dy (0.951, 0.250, 0.902)
Pm (0.856, 0.750, 0.712)
In (0.454, 0.750, 0.910)
In (0.650, 0.750, 0.300)

D(E_F) = 5.317 states/eV/f.u.
Energy of formation = -372 meV/atom
Final energy = -4.2588 eV per atom
Polymorph energy (0 for the lowest one) = 0.0 kJ/mol of atoms



# 7
A relaxed structure of PmDy2In, computed with PBE.

Unit cell a=3.618 b=3.618 c=11.095 alpha=80.62 beta=80.62 gamma=60.00
Sites, in units of the cell vectors:
Pm (0.500, 0.500, 0.500)
In (0.666, 0.666, 0.001)
Dy (0.077, 0.077, 0.769)
Dy (0.257, 0.257, 0.230)

D(E_F) = 5.616 states/eV/f.u.
Energy of formation = -135 meV/atom
Final energy = -4.3088 eV per atom
Polymorph energy (0 for the lowest one) = 12.6 kJ/mol of atoms



# 8
A relaxed structure of Pm6Dy12In, computed with PBE.

Unit cell a=8.505 b=8.505 c=8.505 alpha=88.97 beta=88.97 gamma=88.97
Sites, in units of the cell vectors:
Pm (0.259, 0.093, 0.697)
Dy (0.222, 0.461, 0.565)
Dy (0.359, 0.013, 0.188)
Pm (0.741, 0.907, 0.303)
Dy (0.188, 0.359, 0.013)
Dy (0.987, 0.812, 0.641)
Dy (0.778, 0.539, 0.435)
Dy (0.461, 0.565, 0.222)
Dy (0.641, 0.987, 0.812)
Dy (0.812, 0.641, 0.987)
Pm (0.093, 0.697, 0.259)
In (0.000, 0.000, 0.000)
Dy (0.435, 0.778, 0.539)
Pm (0.697, 0.259, 0.093)
Pm (0.303, 0.741, 0.907)
Dy (0.013, 0.188, 0.359)
Dy (0.565, 0.222, 0.461)
Pm (0.907, 0.303, 0.741)
Dy (0.539, 0.435, 0.778)

D(E_F) = 24.889 states/eV/f.u.
Energy of formation = 67 meV/atom
Final energy = -4.4843 eV per atom



# 9
A relaxed structure of PmDyIn, computed with PBE.

Unit cell a=3.691 b=5.277 c=5.277 alpha=120.00 beta=90.00 gamma=90.00
Sites, in units of the cell vectors:
In (0.711, 0.667, 0.333)
Dy (0.922, 0.000, 0.000)
Pm (0.366, 0.333, 0.667)

D(E_F) = 2.094 states/eV/f.u.
Energy of formation = -239 meV/atom
Final energy = -4.2692 eV per atom
Polymorph energy (0 for the lowest one) = 10.4 kJ/mol of atoms



# 10
A relaxed structure of Pm6DyIn6, computed with PBE.

Unit cell a=6.368 b=6.368 c=11.019 alpha=90.00 beta=90.00 gamma=120.00
Site moments in Bohr magnetons follow the coordinates.
Sites, in units of the cell vectors:
In (0.500, 0.000, 0.246)  0.00
In (0.500, 0.000, 0.754)  0.00
In (0.500, 0.500, 0.754)  0.00
Pm (0.000, 0.000, 0.668)  0.20
Pm (0.000, 0.000, 0.332)  0.20
Pm (0.333, 0.667, 0.000)  0.02
Dy (0.000, 0.000, 0.000)  0.08
In (0.000, 0.500, 0.246)  0.00
Pm (0.667, 0.333, 0.500)  0.10
In (0.500, 0.500, 0.246)  0.00
Pm (0.667, 0.333, 0.000)  0.02
In (0.000, 0.500, 0.754)  0.00
Pm (0.333, 0.667, 0.500)  0.10

D(E_F) = 15.411 states/eV/f.u.
Energy of formation = -327 meV/atom
Final energy = -4.1373 eV per atom



# 11
A relaxed structure of PmDy2In9, computed with PBE.

Unit cell a=4.659 b=4.659 c=13.965 alpha=90.00 beta=90.00 gamma=90.00
Sites, in units of the cell vectors:
In (0.500, 0.000, 0.169)
In (0.000, 0.500, 0.831)
Dy (0.000, 0.000, 0.666)
In (0.500, 0.000, 0.500)
In (0.000, 0.500, 0.500)
Pm (0.000, 0.000, 0.000)
In (0.500, 0.500, 0.000)
In (0.500, 0.500, 0.666)
In (0.500, 0.500, 0.334)
In (0.500, 0.000, 0.831)
In (0.000, 0.500, 0.169)
Dy (0.000, 0.000, 0.334)

D(E_F) = 4.408 states/eV/f.u.
Energy of formation = -432 meV/atom
Final energy = -3.6489 eV per atom



# 12
A relaxed structure of Pm3Dy2In, computed with PBE.

Unit cell a=6.838 b=6.515 c=9.305 alpha=99.18 beta=111.56 gamma=90.00
Sites, in units of the cell vectors:
In (0.712, 0.750, 0.000)
Dy (0.234, 0.429, 0.678)
Pm (0.947, 0.962, 0.664)
Dy (0.766, 0.571, 0.322)
Pm (0.717, 0.462, 0.664)
Pm (0.283, 0.538, 0.336)
Pm (0.053, 0.038, 0.336)
Pm (0.223, 0.750, 0.000)
In (0.288, 0.250, 0.000)
Dy (0.444, 0.929, 0.678)
Dy (0.556, 0.071, 0.322)
Pm (0.777, 0.250, 0.000)

D(E_F) = 6.173 states/eV/f.u.
Energy of formation = -103 meV/atom
Final energy = -4.4687 eV per atom
Polymorph energy (0 for the lowest one) = 5.2 kJ/mol of atoms



# 13
A relaxed structure of PmDy2In, computed with PBE.

Unit cell a=5.483 b=5.483 c=5.483 alpha=60.00 beta=60.00 gamma=60.00
Site moments in Bohr magnetons follow the coordinates.
Sites, in units of the cell vectors:
Dy (0.250, 0.250, 0.250)  0.31
Dy (0.750, 0.750, 0.750)  0.31
Pm (0.000, 0.000, 0.000)  0.35
In (0.500, 0.500, 0.500)  0.01

D(E_F) = 5.840 states/eV/f.u.
Energy of formation = -101 meV/atom
Final energy = -4.2745 eV per atom
Polymorph energy (0 for the lowest one) = 16.0 kJ/mol of atoms



# 14
A relaxed structure of Pm3DyIn2, computed with PBE.

Unit cell a=5.296 b=6.817 c=10.024 alpha=90.00 beta=90.00 gamma=90.00
Sites, in units of the cell vectors:
Pm (0.000, 0.967, 0.036)
Pm (0.000, 0.307, 0.325)
Dy (0.500, 0.031, 0.462)
Pm (0.500, 0.193, 0.819)
In (0.000, 0.290, 0.644)
Dy (0.500, 0.531, 0.538)
In (0.500, 0.712, 0.854)
In (0.000, 0.790, 0.356)
Pm (0.000, 0.467, 0.964)
Pm (0.500, 0.693, 0.181)
Pm (0.000, 0.807, 0.675)
In (0.500, 0.212, 0.146)

D(E_F) = 6.148 states/eV/f.u.
Energy of formation = -354 meV/atom
Final energy = -4.4089 eV per atom
Polymorph energy (0 for the lowest one) = 0.0 kJ/mol of atoms



# 15
A relaxed structure of PmDyIn, computed with PBE.

Unit cell a=3.506 b=3.506 c=15.099 alpha=96.67 beta=96.67 gamma=90.00
Sites, in units of the cell vectors:
In (0.133, 0.133, 0.265)
Pm (0.439, 0.439, 0.879)
Dy (0.706, 0.706, 0.412)
Dy (0.294, 0.294, 0.588)
Pm (0.561, 0.561, 0.121)
In (0.867, 0.867, 0.735)

D(E_F) = 2.687 states/eV/f.u.
Energy of formation = -225 meV/atom
Final energy = -4.2550 eV per atom
Polymorph energy (0 for the lowest one) = 11.8 kJ/mol of atoms



# 16
A relaxed structure of Pm15DyIn4, computed with PBE.

Unit cell a=4.960 b=4.960 c=25.273 alpha=90.00 beta=90.00 gamma=90.00
Sites, in units of the cell vectors:
Pm (0.500, 0.000, 0.105)
Pm (0.000, 0.500, 0.500)
Pm (0.000, 0.500, 0.697)
Pm (0.500, 0.000, 0.500)
Pm (0.500, 0.500, 0.796)
Pm (0.500, 0.500, 0.599)
Pm (0.000, 0.500, 0.895)
Pm (0.500, 0.500, 0.000)
Pm (0.500, 0.500, 0.204)
Pm (0.000, 0.500, 0.303)
In (0.000, 0.000, 0.598)
Dy (0.000, 0.000, 0.000)
In (0.000, 0.000, 0.205)
Pm (0.500, 0.500, 0.401)
Pm (0.000, 0.500, 0.105)
Pm (0.500, 0.000, 0.697)
Pm (0.500, 0.000, 0.303)
In (0.000, 0.000, 0.402)
Pm (0.500, 0.000, 0.895)
In (0.000, 0.000, 0.795)

D(E_F) = 29.721 states/eV/f.u.
Energy of formation = -211 meV/atom
Final energy = -4.5515 eV per atom



# 17
A relaxed structure of Pm4Dy5In, computed with PBE.

Unit cell a=5.839 b=8.117 c=8.117 alpha=82.57 beta=68.92 gamma=68.92
Sites, in units of the cell vectors:
Pm (0.459, 0.312, 0.688)
Pm (0.770, 0.688, 0.688)
Dy (0.771, 0.000, 0.370)
Dy (0.141, 0.000, 0.630)
Dy (0.771, 0.370, 0.000)
In (0.184, 0.000, 0.000)
Dy (0.667, 0.000, 0.000)
Pm (0.147, 0.312, 0.312)
Dy (0.141, 0.630, 0.000)
Pm (0.459, 0.688, 0.312)

D(E_F) = 13.931 states/eV/f.u.
Energy of formation = 84 meV/atom
Final energy = -4.3913 eV per atom
Polymorph energy (0 for the lowest one) = 7.0 kJ/mol of atoms



# 18
A relaxed structure of Pm2DyIn5, computed with PBE.

Unit cell a=6.591 b=6.591 c=6.591 alpha=100.00 beta=114.41 gamma=114.41
Sites, in units of the cell vectors:
Pm (0.500, 0.736, 0.236)
In (0.000, 0.762, 0.762)
In (0.000, 0.690, 0.261)
Dy (0.000, 0.144, 0.144)
In (0.429, 0.690, 0.690)
Pm (0.500, 0.236, 0.736)
In (0.000, 0.261, 0.690)
In (0.571, 0.261, 0.261)

D(E_F) = 6.086 states/eV/f.u.
Energy of formation = -452 meV/atom
Final energy = -3.9267 eV per atom



# 19
A relaxed structure of Pm3Dy4In, computed with PBE.

Unit cell a=6.235 b=7.116 c=11.264 alpha=90.00 beta=90.00 gamma=90.00
Sites, in units of the cell vectors:
Pm (0.333, 0.127, 0.500)
Dy (0.513, 0.873, 0.738)
Pm (0.035, 0.616, 0.245)
Dy (0.866, 0.372, 0.500)
Pm (0.036, 0.616, 0.755)
Dy (0.366, 0.628, 0.000)
In (0.357, 0.627, 0.500)
Dy (0.513, 0.873, 0.262)
In (0.857, 0.373, 0.000)
Pm (0.535, 0.384, 0.745)
Pm (0.833, 0.873, 0.000)
Dy (0.862, 0.872, 0.500)
Dy (0.013, 0.127, 0.238)
Dy (0.362, 0.128, 0.000)
Dy (0.013, 0.127, 0.762)
Pm (0.535, 0.384, 0.255)

D(E_F) = 10.690 states/eV/f.u.
Energy of formation = -104 meV/atom
Final energy = -4.5284 eV per atom
Polymorph energy (0 for the lowest one) = 0.7 kJ/mol of atoms



# 20
A relaxed structure of Pm3Dy2In6, computed with PBE.

Unit cell a=5.840 b=5.840 c=11.940 alpha=104.16 beta=104.16 gamma=90.00
Sites, in units of the cell vectors:
Dy (0.573, 0.573, 0.146)
Dy (0.427, 0.427, 0.854)
In (0.928, 0.428, 0.855)
Pm (0.000, 0.000, 0.000)
In (0.291, 0.291, 0.581)
In (0.072, 0.572, 0.145)
In (0.428, 0.928, 0.855)
Pm (0.150, 0.150, 0.301)
Pm (0.850, 0.850, 0.699)
In (0.572, 0.072, 0.145)
In (0.709, 0.709, 0.419)

D(E_F) = 14.090 states/eV/f.u.
Energy of formation = 41 meV/atom
Final energy = -3.5855 eV per atom